(1)
DFT (PBE-GGA) results for a geometry-optimized Rb2S2I structure.

Cell: 8.069 8.069 4.929 Å, 90.00 90.00 90.00°
Sites, in units of the cell vectors:
1 I 0.000 0.000 0.000
2 I 0.500 0.500 0.000
3 S 0.323 0.823 0.000
4 S 0.823 0.677 0.000
5 S 0.677 0.177 0.000
6 S 0.177 0.323 0.000
7 Rb 0.145 0.645 0.500
8 Rb 0.645 0.855 0.500
9 Rb 0.855 0.355 0.500
10 Rb 0.355 0.145 0.500

=====

(2)
DFT (PBE-GGA) results for a geometry-optimized RbSI2 structure.

Cell: 6.172 6.172 8.587 Å, 68.94 68.94 60.00°
Sites, in units of the cell vectors:
1 I 0.112 0.112 0.664
2 I 0.888 0.888 0.336
3 S 0.000 0.000 0.000
4 Rb 0.500 0.500 0.500

As for the energy relative to the lowest polymorph listed for this composition: 0.000 eV per atom.

=====

Taking the records one at a time from the top gives raw formation energy values of -0.53, -0.35 eV/atom.